# Sn4BiSe7 PBE optimized geometry
data_Sn4BiSe7
_cell_length_a 13.529
_cell_length_b 4.062
_cell_length_c 12.919
_cell_angle_alpha 90.00
_cell_angle_beta 104.11
_cell_angle_gamma 90.00
_symmetry_space_group_name_H-M 'C 1 m 1'
_symmetry_Int_Tables_number 8
loop_
_symmetry_equiv_pos_as_xyz
'x,y,z'
'x,-y,z'
'x+1/2,y+1/2,z'
'x+1/2,-y+1/2,z'
loop_
_atom_site_label
_atom_site_type_symbol
_atom_site_fract_x
_atom_site_fract_y
_atom_site_fract_z
Sn1 Sn 0.000 0.000 0.000
Sn2 Sn 0.068 0.500 0.407
Sn3 Sn 0.238 0.000 0.764
Sn4 Sn 0.393 0.500 0.567
Bi1 Bi 0.250 0.500 0.137
Se1 Se 0.039 0.500 0.615
Se2 Se 0.115 0.500 0.935
Se3 Se 0.126 0.000 0.206
Se4 Se 0.246 0.000 0.537
Se5 Se 0.357 0.000 0.026
Se6 Se 0.385 0.500 0.779
Se7 Se 0.416 0.500 0.364
# Formation energy (no corrections), eV/atom: -0.36
# DOS at the Fermi energy, states/eV per atom: 0.36
# DFT total energy, eV/atom: -4.052